Here is a PBEsol-optimized structure of LaW from the Alexandria database. Energies are from SCAN.

## Properties
- ΔH_f (0 K) (eV/atom) = 0.713
- energy above the most stable polymorph in this dataset (eV per atom) = 0.112

abc: 3.211 3.211 10.340
angles: 90.00 90.00 120.00
Atoms (fractional coordinates):
La (0.667, 0.333, 0.161)
La (0.333, 0.667, 0.839)
W (0.667, 0.333, 0.585)
W (0.333, 0.667, 0.415)

Here is a PBEsol-optimized structure of CoPPd2 from the Alexandria database. Energies are from SCAN.

## Properties
- ΔH_f (0 K) (eV/atom) = 0.103

abc: 3.611 3.611 8.887
angles: 101.72 101.72 90.00
Each line ends with the local moment (μB).
Atoms (fractional coordinates):
P (0.750, 0.250, 0.500)  -0.04
P (0.500, 0.500, 0.000)  -0.04
Co (0.250, 0.750, 0.500)  1.95
Co (0.000, 0.000, 0.000)  1.95
Pd (0.378, 0.875, 0.250)  0.04
Pd (0.872, 0.375, 0.250)  0.04
Pd (0.125, 0.128, 0.750)  0.04
Pd (0.625, 0.622, 0.750)  0.04

Here is a PBEsol-optimized structure of BeCuAu2I from the Alexandria database. Energies are from SCAN.

## Properties
- raw formation energy (meV/atom) = 1518

abc: 4.646 5.236 5.236
angles: 90.00 90.00 90.00
Atoms (fractional coordinates):
I (0.000, 0.000, 0.000)
Be (0.500, 0.000, 0.000)
Au (0.000, 0.000, 0.500)
Au (0.000, 0.500, 0.000)
Cu (0.500, 0.500, 0.500)

Here is a PBEsol-optimized structure of Na3IrPb from the Alexandria database. Energies are from SCAN.

## Properties
- ΔH_f (0 K) (eV/atom) = 1.186

abc: 5.601 5.601 5.601
angles: 90.00 90.00 90.00
Each line ends with the local moment (μB).
Atoms (fractional coordinates):
Pb (0.000, 0.000, 0.000)  0.10
Na (0.000, 0.500, 0.000)  0.01
Na (0.000, 0.000, 0.500)  0.01
Na (0.500, 0.000, 0.000)  0.01
Ir (0.500, 0.500, 0.500)  2.01

Here is a PBEsol-optimized structure of TaAlWS2 from the Alexandria database. Energies are from SCAN.

## Properties
- raw formation energy (meV/atom) = 930

abc: 4.580 4.580 5.121
angles: 90.00 90.00 90.00
Atoms (fractional coordinates):
S (0.000, 0.500, 0.000)
S (0.500, 0.000, 0.000)
Al (0.500, 0.500, 0.500)
W (0.000, 0.000, 0.500)
Ta (0.000, 0.000, 0.000)

Here is a PBEsol-optimized structure of CaY3Co from the Alexandria database. Energies are from SCAN.

## Properties
- ΔH_f (0 K) (eV/atom) = -0.017
- energy above the most stable polymorph in this dataset (eV per atom) = 0.000

abc: 5.259 5.259 5.259
angles: 90.00 90.00 90.00
Each line ends with the local moment (μB).
Atoms (fractional coordinates):
Y (0.000, 0.500, 0.000)  0.03
Y (0.000, 0.000, 0.500)  0.03
Y (0.500, 0.000, 0.000)  0.03
Ca (0.500, 0.500, 0.500)  0.02
Co (0.000, 0.000, 0.000)  0.07

Here is a PBEsol-optimized structure of BePbAu2 from the Alexandria database. Energies are from SCAN.

## Properties
- ΔH_f (0 K) (eV/atom) = 0.337
- energy above the most stable polymorph in this dataset (eV per atom) = 0.451

abc: 4.709 4.709 4.709
angles: 60.00 60.00 60.00
Atoms (fractional coordinates):
Pb (0.500, 0.500, 0.500)
Be (0.000, 0.000, 0.000)
Au (0.250, 0.250, 0.250)
Au (0.750, 0.750, 0.750)

Here is a PBEsol-optimized structure of Na2SnAs2 from the Alexandria database. Energies are from SCAN.

## Properties
- ΔH_f (0 K) (eV/atom) = -0.421

abc: 14.173 14.568 14.173
angles: 60.89 90.00 119.11
Atoms (fractional coordinates):
Na (0.853, 0.000, 0.647)
Na (0.996, 0.311, 0.225)
Na (0.964, 0.689, 0.815)
Na (0.935, 0.189, 0.025)
Na (0.496, 0.311, 0.964)
Na (0.525, 0.811, 0.435)
Na (0.725, 0.689, 0.496)
Na (0.103, 0.500, 0.603)
Na (0.648, 0.500, 0.148)
Na (0.353, 0.000, 0.853)
Na (0.852, 0.500, 0.352)
Na (0.647, 0.000, 0.147)
Na (0.897, 0.500, 0.103)
Na (0.397, 0.500, 0.897)
Na (0.786, 0.811, 0.935)
Na (0.025, 0.811, 0.254)
Na (0.398, 0.000, 0.102)
Na (0.102, 0.000, 0.602)
Na (0.603, 0.500, 0.397)
Na (0.315, 0.311, 0.464)
Na (0.898, 0.000, 0.398)
Na (0.254, 0.189, 0.786)
Na (0.754, 0.189, 0.525)
Na (0.602, 0.000, 0.898)
Na (0.352, 0.500, 0.648)
Na (0.435, 0.189, 0.286)
Na (0.815, 0.311, 0.725)
Na (0.464, 0.689, 0.996)
Na (0.147, 0.000, 0.353)
Na (0.225, 0.689, 0.315)
Na (0.286, 0.811, 0.754)
Na (0.148, 0.500, 0.852)
Sn (0.700, 0.639, 0.763)
Sn (0.487, 0.139, 0.550)
Sn (0.812, 0.861, 0.151)
Sn (0.987, 0.139, 0.812)
Sn (0.263, 0.361, 0.200)
Sn (0.550, 0.861, 0.651)
Sn (0.312, 0.861, 0.487)
Sn (0.599, 0.361, 0.700)
Sn (0.651, 0.139, 0.312)
Sn (0.151, 0.139, 0.050)
Sn (0.050, 0.861, 0.987)
Sn (0.099, 0.361, 0.438)
Sn (0.938, 0.639, 0.599)
Sn (0.438, 0.639, 0.263)
Sn (0.200, 0.639, 0.099)
Sn (0.763, 0.361, 0.938)
As (0.625, 0.750, 0.309)
As (0.125, 0.750, 0.941)
As (0.220, 0.507, 0.033)
As (0.530, 0.993, 0.717)
As (0.649, 0.299, 0.351)
As (0.941, 0.250, 0.625)
As (0.464, 0.993, 0.290)
As (0.899, 0.799, 0.601)
As (0.625, 0.750, 0.809)
As (0.101, 0.201, 0.399)
As (0.960, 0.493, 0.786)
As (0.290, 0.007, 0.530)
As (0.030, 0.993, 0.790)
As (0.399, 0.799, 0.101)
As (0.033, 0.493, 0.286)
As (0.717, 0.007, 0.464)
As (0.460, 0.493, 0.220)
As (0.217, 0.007, 0.030)
As (0.851, 0.701, 0.149)
As (0.309, 0.250, 0.125)
As (0.125, 0.750, 0.441)
As (0.351, 0.701, 0.649)
As (0.790, 0.007, 0.964)
As (0.441, 0.250, 0.625)
As (0.149, 0.299, 0.851)
As (0.809, 0.250, 0.125)
As (0.720, 0.507, 0.960)
As (0.601, 0.201, 0.899)
As (0.286, 0.507, 0.460)
As (0.964, 0.993, 0.217)
As (0.533, 0.493, 0.720)
As (0.786, 0.507, 0.533)

Here is a PBEsol-optimized structure of Sr2AgTe2 from the Alexandria database. Energies are from SCAN.

## Properties
- raw formation energy (meV/atom) = -1118

abc: 4.295 8.506 8.506
angles: 90.00 90.00 90.00
Each line ends with the local moment (μB).
Atoms (fractional coordinates):
Sr (0.500, 0.152, 0.652)  0.03
Sr (0.500, 0.652, 0.848)  0.03
Sr (0.500, 0.848, 0.348)  0.03
Sr (0.500, 0.348, 0.152)  0.03
Te (0.000, 0.342, 0.842)  0.01
Te (0.000, 0.842, 0.658)  0.01
Te (0.000, 0.658, 0.158)  0.01
Te (0.000, 0.158, 0.342)  0.01
Ag (0.000, 0.000, 0.000)  0.06
Ag (0.000, 0.500, 0.500)  0.06

Here is a PBEsol-optimized structure of HRuAu2S from the Alexandria database. Energies are from SCAN.

## Properties
- total energy (eV for the cell shown) = -181.20

abc: 4.228 5.063 5.063
angles: 90.00 90.00 90.00
Each line ends with the local moment (μB).
Atoms (fractional coordinates):
Ru (0.000, 0.000, 0.000)  0.73
S (0.500, 0.000, 0.000)  0.01
Au (0.000, 0.000, 0.500)  0.15
Au (0.000, 0.500, 0.000)  0.15
H (0.500, 0.500, 0.500)  0.35

Here is a PBEsol-optimized structure of CaOsBr2 from the Alexandria database. Energies are from SCAN.

## Properties
- raw formation energy (meV/atom) = -69

abc: 3.257 3.812 8.282
angles: 103.48 101.34 90.00
Atoms (fractional coordinates):
Ca (0.437, 0.433, 0.875)
Os (0.784, 0.288, 0.569)
Br (0.031, 0.028, 0.062)
Br (0.247, 0.752, 0.495)

Here is a PBEsol-optimized structure of ScInMo from the Alexandria database. Energies are from SCAN.

## Properties
- ΔH_f (0 K) (eV/atom) = 0.598
- energy above the most stable polymorph in this dataset (eV per atom) = 0.588

abc: 4.587 4.587 4.587
angles: 60.00 60.00 60.00
Each line ends with the local moment (μB).
Atoms (fractional coordinates):
In (0.500, 0.500, 0.500)  -0.08
Mo (0.250, 0.250, 0.250)  1.91
Sc (0.000, 0.000, 0.000)  0.28